Y2TaOs: relaxed, PBE.

* distance to the lowest polymorph of the same formula: 462 meV per atom
* energy relative to the elements: 0.3934 eV/atom
* calculated density: 10.8 Mg/m³

Lattice parameters (Å, degrees): 4.8516 4.1783 4.1783 90.00 90.00 90.00
Atoms (fractional coordinates):
1 Os 0.5000 0.5000 0.0000
2 Ta 0.5000 0.0000 0.5000
3 Y 0.0000 0.0000 0.0000
4 Y 0.0000 0.5000 0.5000

***

Rb2In2PbBr6: relaxed, PBE.

* formation energy from raw total energies: -1.088 eV per atom
* calculated density: 4.3 Mg/m³

Lattice parameters (Å, degrees): 8.4733 7.1086 9.2014 104.22 90.00 126.58
Atoms (fractional coordinates):
1 Rb 0.6930 0.3859 0.1212
2 Rb 0.3070 0.6141 0.8788
3 In 0.8916 0.7832 0.8182
4 In 0.1084 0.2168 0.1818
5 Pb 0.5000 0.0000 0.5000
6 Br 0.7642 0.5283 0.5011
7 Br 0.2128 0.8854 0.2172
8 Br 0.3274 0.1146 0.7828
9 Br 0.7872 0.1146 0.7828
10 Br 0.6726 0.8854 0.2172
11 Br 0.2358 0.4717 0.4989

***

BaSiPb2: relaxed, PBE.

* formation energy from raw total energies: -0.007 eV per atom
* calculated density: 7.9 Mg/m³

Lattice parameters (Å, degrees): 6.0827 6.0827 6.0827 131.82 131.82 70.51
Atoms (fractional coordinates):
1 Ba 0.7500 0.2500 0.5000
2 Pb 0.0000 0.0000 0.0000
3 Pb 0.2500 0.7500 0.5000
4 Si 0.5000 0.5000 0.0000

***

Mg2CdAgI: relaxed, PBE.

* formation energy from raw total energies: 0.713 eV per atom
* calculated density: 3.1 Mg/m³

Lattice parameters (Å, degrees): 5.6604 6.5165 5.6604 90.00 90.00 90.00
Atoms (fractional coordinates):
1 I 0.0000 0.0000 0.0000
2 Mg 0.0000 0.0000 0.5000
3 Mg 0.5000 0.0000 0.0000
4 Ag 0.5000 0.5000 0.5000
5 Cd 0.0000 0.5000 0.0000

***

Zn2H2Ru: relaxed, PBE.

* distance to the lowest polymorph of the same formula: 0 meV per atom
* calculated density: 7.3 Mg/m³

Lattice parameters (Å, degrees): 3.7500 3.7500 3.8003 90.00 90.00 90.00
Atoms (fractional coordinates):
1 Ru 0.0000 0.0000 0.0000
2 Zn 0.5000 0.0000 0.5000
3 Zn 0.0000 0.5000 0.5000
4 H 0.5000 0.0000 0.0000
5 H 0.0000 0.5000 0.0000

***

Mn2CrTc2: relaxed, PBE.

* energy relative to the elements: 0.2815 eV/atom
* calculated density: 9.1 Mg/m³

Lattice parameters (Å, degrees): 6.8277 6.8277 2.8030 90.00 90.00 90.00
Last column: magnetic moment on the atom in μB.
Atoms (fractional coordinates):
1 Cr 0.0000 0.0000 0.0000  1.52
2 Cr 0.5000 0.5000 0.0000  1.52
3 Mn 0.3692 0.8692 0.0000  0.11
4 Mn 0.8692 0.6308 0.0000  0.18
5 Mn 0.6308 0.1308 0.0000  0.11
6 Mn 0.1308 0.3692 0.0000  0.18
7 Tc 0.1700 0.6700 0.5000  -0.08
8 Tc 0.6700 0.8300 0.5000  -0.10
9 Tc 0.8300 0.3300 0.5000  -0.08
10 Tc 0.3300 0.1700 0.5000  -0.10

***

BeMo2Br: relaxed, PBE.

* distance to the lowest polymorph of the same formula: 755 meV per atom
* formation energy from raw total energies: 1.069 eV per atom
* calculated density: 7.4 Mg/m³

Lattice parameters (Å, degrees): 4.4546 3.7599 3.7599 90.00 90.00 90.00
Atoms (fractional coordinates):
1 Be 0.5000 0.5000 0.0000
2 Mo 0.0000 0.0000 0.0000
3 Mo 0.0000 0.5000 0.5000
4 Br 0.5000 0.0000 0.5000

***

KHg3P: relaxed, PBE.

* distance to the lowest polymorph of the same formula: 0 meV per atom
* energy relative to the elements: -0.1422 eV/atom
* calculated density: 6.8 Mg/m³

Lattice parameters (Å, degrees): 6.2676 7.0815 8.3819 107.25 111.44 91.45
Atoms (fractional coordinates):
1 P 0.2818 0.7274 0.4599
2 P 0.5080 0.3928 0.9170
3 K 0.7317 0.5875 0.3644
4 K 0.0577 0.5324 0.0121
5 Hg 0.8103 0.1693 0.5371
6 Hg 0.5427 0.9683 0.0940
7 Hg 0.3958 0.5605 0.6887
8 Hg 0.1413 0.1526 0.2828
9 Hg 0.3931 0.0602 0.6882
10 Hg 0.9588 0.9505 0.8395

***

KTa2CuSe: relaxed, PBE.

* formation energy from raw total energies: 2.820 eV per atom
* calculated density: 7.9 Mg/m³

Lattice parameters (Å, degrees): 4.7113 5.1756 4.7113 90.00 90.00 90.00
Atoms (fractional coordinates):
1 K 0.0000 0.0000 0.0000
2 Cu 0.5000 0.5000 0.5000
3 Se 0.0000 0.5000 0.0000
4 Ta 0.0000 0.0000 0.5000
5 Ta 0.5000 0.0000 0.0000

***

GeP: relaxed, PBE.

* energy relative to the elements: 0.0188 eV/atom
* calculated density: 3.5 Mg/m³

Lattice parameters (Å, degrees): 3.6623 3.6623 8.4613 90.00 90.00 120.00
Atoms (fractional coordinates):
1 Ge 0.0000 0.0000 0.6466
2 Ge 0.0000 0.0000 0.3534
3 P 0.3333 0.6667 0.2282
4 P 0.6667 0.3333 0.7718

***

LiRu2Br: relaxed, PBE.

* distance to the lowest polymorph of the same formula: 61 meV per atom
* formation energy from raw total energies: 0.225 eV per atom
* calculated density: 7.3 Mg/m³

Lattice parameters (Å, degrees): 3.0317 3.0317 7.1584 90.00 90.00 90.00
Atoms (fractional coordinates):
1 Br 0.0000 0.0000 0.5175
2 Li 0.5000 0.5000 0.7375
3 Ru 0.0000 0.0000 0.0267
4 Ru 0.5000 0.5000 0.2183

***

BaCrCuCl2: relaxed, PBE.

* formation energy from raw total energies: 0.002 eV per atom
* calculated density: 4.0 Mg/m³

Lattice parameters (Å, degrees): 4.5468 6.5528 4.5468 90.00 90.00 90.00
Atoms (fractional coordinates):
1 Cr 0.0000 0.0000 0.0000
2 Ba 0.0000 0.5000 0.0000
3 Cu 0.5000 0.5000 0.5000
4 Cl 0.0000 0.0000 0.5000
5 Cl 0.5000 0.0000 0.0000